(1)
Entry from Alexandria: an optimized crystal structure of Mg3InSn3 (PBE).

a = 7.977 Å, b = 7.977 Å, c = 7.977 Å
α = 90.00°, β = 90.00°, γ = 90.00°
Space group Pm-3n (No. 223)
Symmetry-distinct sites (fractional):
Mg (0.000, 0.250, 0.500) x6
In (0.000, 0.000, 0.000) x2
Sn (0.000, 0.500, 0.250) x6

Output
D(E_F): 5.56 states/eV/f.u.
VASP energy: -2.383 eV per atom


(2)
Entry from Alexandria: an optimized crystal structure of BeRe2Hg (PBE).

a = 3.049 Å, b = 4.492 Å, c = 8.459 Å
α = 90.00°, β = 90.00°, γ = 90.00°
Space group Imm2 (No. 44)
Symmetry-distinct sites (fractional):
Be (0.000, 0.000, 0.000) x2
Re (0.000, 0.000, 0.512) x2
Re (0.000, 0.500, 0.281) x2
Hg (0.000, 0.500, 0.727) x2

Output
Relative energy among the computed polymorphs: 382 meV per atom
D(E_F): 2.65 states/eV/f.u.


The lowest D(E_F) belongs to which entry?
BeRe2Hg